{"formula": "MgZnHgS3", "functional": "GGA-PBE", "state": "relaxed", "e_tot_ev_per_atom": -3.08, "relative_energy_mev_per_atom": 0.0, "crystal_system": "orthorhombic", "lattice_angstrom": [[1.811, -6.097, 0.000], [1.811, 6.097, 0.000], [0.000, 0.000, 11.404]], "species": ["Mg", "Mg", "Zn", "Zn", "Hg", "Hg", "S", "S", "S", "S", "S", "S"], "frac_coords": [[0.232, 0.768, 0.750], [0.768, 0.232, 0.250], [0.489, 0.511, 0.250], [0.511, 0.489, 0.750], [0.000, 0.000, 0.000], [0.000, 0.000, 0.500], [0.114, 0.886, 0.250], [0.362, 0.638, 0.095], [0.362, 0.638, 0.405], [0.638, 0.362, 0.595], [0.638, 0.362, 0.905], [0.886, 0.114, 0.750]]}